VASP calculation (PBE) on a relaxed Pt2SeBr crystal.

- Offset from the most stable computed form: 0.8065 eV per atom
- Space group: Cmmm

Structure (extended XYZ):
```
4
Lattice="-4.646 0.373 0.906 -0.911 -3.154 -3.430 0.224 -2.379 2.128" Properties=species:S:1:pos:R:3 pbc="T T T"
Br -0.344 -2.766 -0.651
Pt 0.000 0.000 0.000
Pt -2.779 -1.391 -1.262
Se -2.211 -1.003 1.517
```



VASP calculation (PBE) on a relaxed HfTiF2 crystal.

- Offset from the most stable computed form: 0.0000 eV per atom
- Space group: R-3m

Structure (extended XYZ):
```
4
Lattice="-6.382 -2.705 3.670 -5.456 -0.749 5.584 -7.091 0.077 3.351" Properties=species:S:1:pos:R:3 pbc="T T T"
F -17.011 -3.035 11.328
F -1.918 -0.342 1.277
Hf 0.000 0.000 0.000
Ti -9.465 -1.689 6.303
```



VASP calculation (PBE) on a relaxed Mn2GaBSe crystal.

- Offset from the most stable computed form: 0.1378 eV per atom
- Space group: Cm

Structure (extended XYZ):
```
10
Lattice="8.743 0.000 -0.083 0.000 3.068 0.000 -1.019 0.000 5.230" Properties=species:S:1:pos:R:3 pbc="T T T"
B 1.652 0.000 2.404
B 1.142 1.534 5.019
Mn 2.582 0.000 4.390
Mn 3.092 1.534 1.775
Mn 0.169 0.000 3.923
Mn 0.679 1.534 1.308
Ga 7.461 0.000 1.751
Ga 6.951 1.534 4.366
Se 4.907 0.000 1.224
Se 4.397 1.534 3.839
```



VASP calculation (PBE) on a relaxed TeAuN2O crystal.

- Space group: P4/mmm

Structure (extended XYZ):
```
5
Lattice="4.093 0.000 0.000 0.000 4.093 0.000 0.000 0.000 3.882" Properties=species:S:1:pos:R:3 pbc="T T T"
Te 0.000 0.000 0.000
Au 2.047 2.047 1.941
O 0.000 0.000 1.941
N 0.000 2.047 0.000
N 2.047 0.000 0.000
```



| no. | E_form (uncorrected) (eV/atom) | Fermi-level density of states (states/eV/cell) |
| --- | --- | --- |
| 1 | 0.595 | 3.3 |
| 2 | -1.619 | 3.0 |
| 3 | 0.002 | 3.9 |
| 4 | 1.295 | 4.3 |